A relaxed structure of Sm4RuPb. Source: Alexandria via LeMat-Bulk, functional PBE.

The structure in CIF format:
```
data_Sm4RuPb
_chemical_formula_sum 'Sm16 Ru4 Pb4'
_cell_length_a 8.9778
_cell_length_b 13.7471
_cell_length_c 6.2713
_cell_angle_alpha 90.00
_cell_angle_beta 111.95
_cell_angle_gamma 90.00
_symmetry_space_group_name_H-M 'C 1 2/c 1'
_symmetry_Int_Tables_number 15
loop_
_symmetry_equiv_pos_as_xyz
'x,y,z'
'-x,-y,-z'
'-x,y,-z+1/2'
'x,-y,z+1/2'
'x+1/2,y+1/2,z'
'-x+1/2,-y+1/2,-z'
'-x+1/2,y+1/2,-z+1/2'
'x+1/2,-y+1/2,z+1/2'
loop_
_atom_site_label
_atom_site_type_symbol
_atom_site_fract_x
_atom_site_fract_y
_atom_site_fract_z
_atom_site_occupancy
Sm1 Sm 0.1092 0.1692 0.0606 1
Sm2 Sm 0.2210 0.4293 0.3590 1
Ru1 Ru 0.0000 0.9995 0.2500 1
Pb1 Pb 0.0000 0.3726 0.7500 1
```


A relaxed structure of Y4As3. Source: Alexandria via LeMat-Bulk, functional PBE.

The structure in CIF format:
```
data_Y4As3
_chemical_formula_sum 'Y12 As9'
_cell_length_a 4.1033
_cell_length_b 4.1033
_cell_length_c 38.6808
_cell_angle_alpha 90.00
_cell_angle_beta 90.00
_cell_angle_gamma 120.00
_symmetry_space_group_name_H-M 'R -3 m'
_symmetry_Int_Tables_number 166
_symmetry_space_group_name_Hall '-R 3 2"'
loop_
_atom_site_label
_atom_site_type_symbol
_atom_site_fract_x
_atom_site_fract_y
_atom_site_fract_z
_atom_site_occupancy
Y1 Y 0.0000 0.0000 0.1245 1
Y2 Y 0.0000 0.0000 0.3731 1
As1 As 0.0000 0.0000 0.2539 1
As2 As 0.0000 0.0000 0.5000 1
```

Values from the calculation:
Excess energy over the best structure of this formula in the dataset in eV/atom: 0.0000


Number 1: calculated formation energy -0.3529 eV/atom. Number 2: calculated formation energy -1.2922 eV/atom.